No. 1
DFT (PBE-GGA) results for a relaxed Ba2CaCuH crystal.

```
Ba2CaCuH
1.0
5.775 0.000 0.000
0.000 5.775 0.000
0.000 0.000 4.687
Ba Ca Cu H
2 1 1 1
direct
0.000 0.500 0.000
0.500 0.000 0.000
0.000 0.000 0.500
0.500 0.500 0.500
0.000 0.000 0.000
```

Total DFT energy (no corrections) in eV/atom: -2.65
Density of states at the Fermi level in states/eV per atom: 0.6187

=====

No. 2
DFT (PBE-GGA) results for a relaxed Ba2CaCuH crystal.

```
Ba2CaCuH
1.0
6.856 0.000 0.000
0.000 6.856 0.000
0.000 0.000 4.890
Ba Ca Cu H
2 1 1 1
direct
0.000 0.500 0.000
0.500 0.000 0.000
0.000 0.000 0.000
0.000 0.000 0.500
0.500 0.500 0.500
```

Total DFT energy (no corrections) in eV/atom: -1.86
Density of states at the Fermi level in states/eV per atom: 0.8073

=====

No. 3
DFT (PBE-GGA) results for a relaxed BaCaCu2H6 crystal.

```
BaCaCu2H6
1.0
4.482 -5.130 0.000
4.482 5.130 0.000
-1.489 0.000 5.745
Ba Ca Cu H
2 2 4 12
direct
0.167 0.833 0.750
0.833 0.167 0.250
0.404 0.596 0.250
0.596 0.404 0.750
0.141 0.323 0.802
0.323 0.141 0.302
0.677 0.859 0.698
0.859 0.677 0.198
0.073 0.618 0.302
0.185 0.210 0.043
0.210 0.185 0.543
0.321 0.519 0.870
0.382 0.927 0.198
0.481 0.679 0.630
0.519 0.321 0.370
0.618 0.073 0.802
0.679 0.481 0.130
0.790 0.815 0.457
0.815 0.790 0.957
0.927 0.382 0.698
```

Total DFT energy (no corrections) in eV/atom: -3.53

=====

No. 4
DFT (PBE-GGA) results for a relaxed Ba2CaCuH6 crystal.

```
Ba2CaCuH6
1.0
-2.949 2.960 4.178
2.949 -2.960 4.178
2.949 2.960 -4.178
Ba Ca Cu H
2 1 1 6
direct
0.248 0.248 0.000
0.752 0.752 0.000
0.500 0.000 0.500
0.000 0.500 0.500
0.224 0.274 0.498
0.224 0.726 0.950
0.225 0.725 0.500
0.775 0.275 0.500
0.776 0.274 0.050
0.776 0.726 0.502
```

Total DFT energy (no corrections) in eV/atom: -3.28
Density of states at the Fermi level in states/eV per atom: 0.3047